## Cs3CuTe2 (PBE)

Data for a relaxed Cs3CuTe2 crystal.

a = 14.450 Å, b = 4.823 Å, c = 15.427 Å
α = 90.00°, β = 90.00°, γ = 90.00°
Sites, in units of the cell vectors:
Cs 0.070 0.250 0.116
Cs 0.115 0.750 0.558
Cs 0.179 0.250 0.794
Cs 0.321 0.750 0.294
Cs 0.385 0.250 0.058
Cs 0.430 0.750 0.616
Cs 0.570 0.250 0.384
Cs 0.615 0.750 0.942
Cs 0.679 0.250 0.706
Cs 0.821 0.750 0.206
Cs 0.885 0.250 0.442
Cs 0.930 0.750 0.884
Cu 0.143 0.250 0.369
Cu 0.357 0.750 0.869
Cu 0.643 0.250 0.131
Cu 0.857 0.750 0.631
Te 0.067 0.750 0.320
Te 0.207 0.750 0.970
Te 0.293 0.250 0.470
Te 0.433 0.250 0.820
Te 0.567 0.750 0.180
Te 0.707 0.750 0.530
Te 0.793 0.250 0.030
Te 0.933 0.250 0.680

## Properties
Raw formation energy   -4.5 eV per formula unit
Energy   -69.9 eV for the cell shown
Size of the total moment   0.000 μB/atom

***

## Ca2CrReBr (PBE)

Data for a relaxed Ca2CrReBr crystal.

a = 5.667 Å, b = 5.667 Å, c = 4.601 Å
α = 90.00°, β = 90.00°, γ = 90.00°
Sites, in units of the cell vectors:
Ca 0.000 0.500 0.000
Ca 0.500 0.000 0.000
Cr 0.000 0.000 0.000
Re 0.500 0.500 0.500
Br 0.000 0.000 0.500

## Properties
Raw formation energy   6.4 eV per formula unit
N(E_F)   1.3987 states/eV per atom
Energy   -21.3 eV for the cell shown
Size of the total moment   1.274 μB/atom

***

## La6TlGe2Br3 (PBE)

Data for a relaxed La6TlGe2Br3 crystal.

a = 9.938 Å, b = 9.938 Å, c = 8.946 Å
α = 100.85°, β = 100.85°, γ = 25.91°
Sites, in units of the cell vectors:
La 0.008 0.008 0.258
La 0.327 0.327 0.429
La 0.332 0.332 0.892
La 0.668 0.668 0.108
La 0.673 0.673 0.571
La 0.992 0.992 0.742
Tl 0.500 0.500 0.000
Ge 0.168 0.168 0.338
Ge 0.832 0.832 0.662
Br 0.165 0.165 0.835
Br 0.500 0.500 0.500
Br 0.835 0.835 0.165

## Properties
Raw formation energy   -13.1 eV per formula unit
N(E_F)   0.5527 states/eV per atom
Energy   -59.3 eV for the cell shown
Size of the total moment   0.000 μB/atom

***

## CdHgAu2 (PBE)

Data for a relaxed CdHgAu2 crystal.

a = 6.244 Å, b = 6.244 Å, c = 6.244 Å
α = 101.88°, β = 101.88°, γ = 126.04°
Sites, in units of the cell vectors:
Cd 0.000 0.000 0.000
Cd 0.750 0.250 0.500
Hg 0.250 0.750 0.500
Hg 0.500 0.500 0.000
Au 0.121 0.625 0.996
Au 0.375 0.371 0.496
Au 0.629 0.125 0.004
Au 0.875 0.879 0.504

## Properties
ΔE_f   0.05 eV per atom
N(E_F)   0.3579 states/eV per atom
Energy   -15.1 eV for the cell shown
Size of the total moment   0.000 μB/atom

***

## Pr3Cd7Au4 (PBE)

Data for a relaxed Pr3Cd7Au4 crystal.

a = 8.818 Å, b = 8.818 Å, c = 10.299 Å
α = 122.27°, β = 122.27°, γ = 30.05°
Sites, in units of the cell vectors:
Pr 0.000 0.000 0.000
Pr 0.301 0.301 0.295
Pr 0.699 0.699 0.705
Cd 0.000 0.000 0.500
Cd 0.155 0.155 0.431
Cd 0.326 0.326 0.984
Cd 0.493 0.493 0.692
Cd 0.507 0.507 0.308
Cd 0.674 0.674 0.016
Cd 0.845 0.845 0.569
Au 0.122 0.122 0.831
Au 0.342 0.342 0.734
Au 0.658 0.658 0.266
Au 0.878 0.878 0.169

## Properties
ΔE_f   -0.45 eV per atom
N(E_F)   0.6177 states/eV per atom
Energy   -40.2 eV for the cell shown
Size of the total moment   0.000 μB/atom

***

## PmSc5Se8 (PBE)

Data for a relaxed PmSc5Se8 crystal.

a = 8.101 Å, b = 8.101 Å, c = 8.101 Å
α = 60.00°, β = 60.00°, γ = 60.00°
Sites, in units of the cell vectors:
Pm 0.000 0.000 0.000
Sc 0.134 0.622 0.622
Sc 0.250 0.250 0.250
Sc 0.622 0.134 0.622
Sc 0.622 0.622 0.134
Sc 0.622 0.622 0.622
Se 0.381 0.381 0.381
Se 0.381 0.381 0.856
Se 0.381 0.856 0.381
Se 0.418 0.861 0.861
Se 0.856 0.381 0.381
Se 0.861 0.418 0.861
Se 0.861 0.861 0.418
Se 0.861 0.861 0.861

## Properties
Raw formation energy   -22.2 eV per formula unit
N(E_F)   0.7197 states/eV per atom
Energy   -86.5 eV for the cell shown
Size of the total moment   0.000 μB/atom

***

## Li3LaGa (PBE)

Data for a relaxed Li3LaGa crystal.

a = 6.228 Å, b = 6.228 Å, c = 6.228 Å
α = 90.00°, β = 90.00°, γ = 90.00°
Sites, in units of the cell vectors:
Li 0.000 0.000 0.500
Li 0.000 0.500 0.000
Li 0.500 0.000 0.000
La 0.000 0.000 0.000
Ga 0.500 0.500 0.500

## Properties
ΔE_f   1.16 eV per atom
N(E_F)   1.2923 states/eV per atom
Energy   -7.9 eV for the cell shown
Size of the total moment   0.497 μB/atom

***

## In2Se (PBE)

Data for a relaxed In2Se crystal.

a = 5.494 Å, b = 5.494 Å, c = 2.982 Å
α = 90.00°, β = 90.00°, γ = 120.00°
Sites, in units of the cell vectors:
In 0.333 0.667 0.338
In 0.667 0.333 0.662
Se 0.000 0.000 0.500

## Properties
Raw formation energy   -0.2 eV per formula unit
N(E_F)   0.5272 states/eV per atom
Energy   -9.1 eV for the cell shown
Size of the total moment   0.000 μB/atom